1.
# PBE ZrInP2, relaxed
data_ZrInP2
_chemical_formula_sum 'Zr2 In2 P4'
_symmetry_space_group_name_H-M 'A m m 2'
_symmetry_Int_Tables_number 38
_symmetry_space_group_name_Hall 'A 2 -2'
_cell_length_a 3.868
_cell_length_b 3.606
_cell_length_c 11.534
_cell_angle_alpha 90.00
_cell_angle_beta 90.00
_cell_angle_gamma 90.00
loop_
_atom_site_label
_atom_site_fract_x
_atom_site_fract_y
_atom_site_fract_z
Zr1 0.000 0.000 0.000
In1 0.500 0.000 0.780
P1 0.000 0.000 0.323
P2 0.500 0.000 0.560
# Energy of formation: -2.3 eV per formula unit

2.
# PBE ZrIn2P, relaxed
data_ZrIn2P
_chemical_formula_sum 'Zr1 In2 P1'
_symmetry_space_group_name_H-M 'P 4/m m m'
_symmetry_Int_Tables_number 123
_symmetry_space_group_name_Hall '-P 4 2'
_cell_length_a 3.935
_cell_length_b 3.935
_cell_length_c 5.526
_cell_angle_alpha 90.00
_cell_angle_beta 90.00
_cell_angle_gamma 90.00
loop_
_atom_site_label
_atom_site_fract_x
_atom_site_fract_y
_atom_site_fract_z
Zr1 0.000 0.000 0.000
In1 0.500 0.500 0.252
P1 0.000 0.000 0.500
# Energy of formation: -0.3 eV per formula unit

3.
# PBE Zr4InP, relaxed
data_Zr4InP
_chemical_formula_sum 'Zr16 In4 P4'
_symmetry_space_group_name_H-M 'F -4 3 m'
_symmetry_Int_Tables_number 216
_symmetry_space_group_name_Hall 'F -4 2 3'
_cell_length_a 8.121
_cell_length_b 8.121
_cell_length_c 8.121
_cell_angle_alpha 90.00
_cell_angle_beta 90.00
_cell_angle_gamma 90.00
loop_
_atom_site_label
_atom_site_fract_x
_atom_site_fract_y
_atom_site_fract_z
Zr1 0.124 0.124 0.124
In1 0.250 0.250 0.750
P1 0.000 0.000 0.500
# Energy of formation: 1.7 eV per formula unit